This record from Alexandria via LeMat-Bulk describes crystalline SrGa2Si2O8 at its relaxed geometry. The functional is GGA-PBEsol.

Values from the calculation:
Excess energy over the best structure of this formula in the dataset: 0 meV/atom
Formation energy from raw total energies: -2574 meV per atom
VASP energy: -7.3434 eV/atom

abc: 8.3994 9.5060 9.0160
angles: 90.00 90.78 90.00
With the nearest neighbours (Å) after each atom.
Sites, in units of the cell vectors:
1 Sr 0.2471 0.0861 0.1120  7 O 2.57-2.67
2 Sr 0.2471 0.4139 0.6120  7 O 2.57-2.67
3 Sr 0.7529 0.5861 0.3880  7 O 2.57-2.67
4 Sr 0.7529 0.9139 0.8880  7 O 2.57-2.67
5 Ga 0.0718 0.6898 0.0532  4 O 1.81-1.84
6 Ga 0.0718 0.8102 0.5532  4 O 1.81-1.84
7 Ga 0.4310 0.0746 0.7283  4 O 1.82-1.85
8 Ga 0.4310 0.4254 0.2283  4 O 1.82-1.85
9 Ga 0.5690 0.5746 0.7717  4 O 1.82-1.85
10 Ga 0.5690 0.9254 0.2717  4 O 1.82-1.85
11 Ga 0.9282 0.1898 0.4468  4 O 1.81-1.84
12 Ga 0.9282 0.3102 0.9468  4 O 1.81-1.84
13 Si 0.0599 0.0816 0.7440  4 O 1.63-1.64
14 Si 0.0599 0.4184 0.2440  4 O 1.63-1.64
15 Si 0.4453 0.7011 0.0618  4 O 1.62-1.65
16 Si 0.4453 0.7989 0.5618  4 O 1.62-1.65
17 Si 0.5547 0.2011 0.4382  4 O 1.62-1.65
18 Si 0.5547 0.2989 0.9382  4 O 1.62-1.65
19 Si 0.9401 0.5816 0.7560  4 O 1.63-1.64
20 Si 0.9401 0.9184 0.2560  4 O 1.63-1.64
21 O 0.0139 0.0693 0.3092  1 Si 1.63
22 O 0.0139 0.4307 0.8092  1 Si 1.63
23 O 0.0597 0.6279 0.6218  1 Si 1.64
24 O 0.0597 0.8721 0.1218  1 Si 1.64
25 O 0.0659 0.1941 0.6075  1 Si 1.63
26 O 0.0659 0.3059 0.1075  1 Si 1.63
27 O 0.2377 0.0733 0.8221  1 Si 1.64, 1 Ga 1.84
28 O 0.2377 0.4267 0.3221  1 Si 1.64, 1 Ga 1.84
29 O 0.2734 0.6415 0.0071  1 Si 1.62, 1 Ga 1.81
30 O 0.2734 0.8585 0.5071  1 Si 1.62, 1 Ga 1.81
31 O 0.4264 0.1985 0.5739  1 Si 1.64, 1 Ga 1.82
32 O 0.4264 0.3015 0.0739  1 Si 1.64, 1 Ga 1.82
33 O 0.4355 0.6351 0.6194  1 Si 1.64
34 O 0.4355 0.8649 0.1194  1 Si 1.64
35 O 0.4816 0.0986 0.3058  1 Si 1.65, 1 Ga 1.83
36 O 0.4816 0.4014 0.8058  1 Si 1.65, 1 Ga 1.83
37 O 0.5184 0.5986 0.1942  1 Si 1.65, 1 Ga 1.83
38 O 0.5184 0.9014 0.6942  1 Si 1.65, 1 Ga 1.83
39 O 0.5645 0.1351 0.8806  1 Si 1.64
40 O 0.5645 0.3649 0.3806  1 Si 1.64
41 O 0.5736 0.6985 0.9261  1 Si 1.64, 1 Ga 1.82
42 O 0.5736 0.8015 0.4261  1 Si 1.64, 1 Ga 1.82
43 O 0.7266 0.1415 0.4929  1 Si 1.62, 1 Ga 1.81
44 O 0.7266 0.3585 0.9929  1 Si 1.62, 1 Ga 1.81
45 O 0.7623 0.5733 0.6779  1 Si 1.64, 1 Ga 1.84
46 O 0.7623 0.9267 0.1779  1 Si 1.64, 1 Ga 1.84
47 O 0.9341 0.6941 0.8925  1 Si 1.63
48 O 0.9341 0.8059 0.3925  1 Si 1.63
49 O 0.9403 0.1279 0.8782  1 Si 1.64
50 O 0.9403 0.3721 0.3782  1 Si 1.64
51 O 0.9861 0.5693 0.1908  1 Si 1.63
52 O 0.9861 0.9307 0.6908  1 Si 1.63

This record from Alexandria via LeMat-Bulk describes crystalline SrGa2Si2O8 at its relaxed geometry. The functional is GGA-PBEsol.

Values from the calculation:
Excess energy over the best structure of this formula in the dataset: 19 meV/atom
Formation energy from raw total energies: -2555 meV per atom
VASP energy: -7.3245 eV/atom

abc: 9.3502 9.3502 8.5052
angles: 97.03 97.03 89.74
With the nearest neighbours (Å) after each atom.
Sites, in units of the cell vectors:
1 Sr 0.0616 0.5706 0.8030  5 O 2.43-2.71
2 Sr 0.4294 0.9384 0.6970  5 O 2.43-2.71
3 Sr 0.5706 0.0616 0.3030  5 O 2.43-2.71
4 Sr 0.9384 0.4294 0.1970  5 O 2.43-2.71
5 Ga 0.0587 0.2017 0.8800  4 O 1.80-1.85
6 Ga 0.2017 0.0587 0.3800  4 O 1.80-1.85
7 Ga 0.2927 0.5467 0.4765  4 O 1.82-1.84
8 Ga 0.4533 0.7073 0.0235  4 O 1.82-1.84
9 Ga 0.5467 0.2927 0.9765  4 O 1.82-1.84
10 Ga 0.7073 0.4533 0.5235  4 O 1.82-1.84
11 Ga 0.7983 0.9413 0.6200  4 O 1.80-1.85
12 Ga 0.9413 0.7983 0.1200  4 O 1.80-1.85
13 Si 0.0603 0.7808 0.4931  4 O 1.63-1.64
14 Si 0.2192 0.9397 0.0069  4 O 1.63-1.64
15 Si 0.2766 0.4354 0.0981  4 O 1.62-1.65
16 Si 0.4354 0.2766 0.5981  4 O 1.62-1.65
17 Si 0.5646 0.7234 0.4019  4 O 1.62-1.65
18 Si 0.7234 0.5646 0.9019  4 O 1.62-1.65
19 Si 0.7808 0.0603 0.9931  4 O 1.63-1.64
20 Si 0.9397 0.2192 0.5069  4 O 1.63-1.64
21 O 0.0142 0.2699 0.6886  1 Si 1.63, 1 Ga 1.82
22 O 0.0550 0.1839 0.3779  1 Si 1.63, 1 Ga 1.80
23 O 0.0896 0.8213 0.0012  1 Si 1.64
24 O 0.1232 0.3759 0.9931  1 Si 1.65, 1 Ga 1.85
25 O 0.1421 0.6414 0.5626  1 Si 1.64, 1 Ga 1.84
26 O 0.1787 0.9104 0.4988  1 Si 1.64
27 O 0.1839 0.0550 0.8779  1 Si 1.63, 1 Ga 1.80
28 O 0.2210 0.4810 0.2717  1 Si 1.63, 1 Ga 1.82
29 O 0.2699 0.0142 0.1886  1 Si 1.63, 1 Ga 1.82
30 O 0.3128 0.5694 0.0020  1 Si 1.64, 1 Ga 1.82
31 O 0.3228 0.4080 0.6089  1 Si 1.62
32 O 0.3586 0.8579 0.9374  1 Si 1.64, 1 Ga 1.84
33 O 0.3759 0.1232 0.4931  1 Si 1.65, 1 Ga 1.85
34 O 0.4080 0.3228 0.1089  1 Si 1.62
35 O 0.4306 0.6872 0.4980  1 Si 1.64, 1 Ga 1.82
36 O 0.4810 0.2210 0.7717  1 Si 1.63, 1 Ga 1.82
37 O 0.5190 0.7790 0.2283  1 Si 1.63, 1 Ga 1.82
38 O 0.5694 0.3128 0.5020  1 Si 1.64, 1 Ga 1.82
39 O 0.5920 0.6772 0.8911  1 Si 1.62
40 O 0.6241 0.8768 0.5069  1 Si 1.65, 1 Ga 1.85
41 O 0.6414 0.1421 0.0626  1 Si 1.64, 1 Ga 1.84
42 O 0.6772 0.5920 0.3911  1 Si 1.62
43 O 0.6872 0.4306 0.9980  1 Si 1.64, 1 Ga 1.82
44 O 0.7301 0.9858 0.8114  1 Si 1.63, 1 Ga 1.82
45 O 0.7790 0.5190 0.7283  1 Si 1.63, 1 Ga 1.82
46 O 0.8161 0.9450 0.1221  1 Si 1.63, 1 Ga 1.80
47 O 0.8213 0.0896 0.5012  1 Si 1.64
48 O 0.8579 0.3586 0.4374  1 Si 1.64, 1 Ga 1.84
49 O 0.8768 0.6241 0.0069  1 Si 1.65, 1 Ga 1.85
50 O 0.9104 0.1787 0.9988  1 Si 1.64
51 O 0.9450 0.8161 0.6221  1 Si 1.63, 1 Ga 1.80
52 O 0.9858 0.7301 0.3114  1 Si 1.63, 1 Ga 1.82

This record from Alexandria via LeMat-Bulk describes crystalline Sm3GaO6 at its relaxed geometry. The functional is GGA-PBEsol.

Values from the calculation:
Formation energy from raw total energies: -3125 meV per atom
VASP energy: -8.1360 eV/atom

abc: 7.2364 7.2364 5.4881
angles: 90.00 90.00 102.78
With the nearest neighbours (Å) after each atom.
Sites, in units of the cell vectors:
1 Sm 0.1035 0.8965 0.5000  7 O 2.32-2.49
2 Sm 0.2017 0.4136 0.4538  5 O 2.26-2.41
3 Sm 0.4136 0.2017 0.9538  5 O 2.26-2.41
4 Sm 0.5864 0.7983 0.4538  5 O 2.26-2.41
5 Sm 0.7983 0.5864 0.9538  5 O 2.26-2.41
6 Sm 0.8965 0.1035 0.0000  7 O 2.32-2.49
7 Ga 0.3079 0.6921 0.9210  4 O 1.84-1.88
8 Ga 0.6921 0.3079 0.4210  4 O 1.84-1.88
9 O 0.0820 0.6053 0.7482  1 Ga 1.87
10 O 0.1455 0.1736 0.7253  4 Sm 2.26-2.32
11 O 0.1736 0.1455 0.2253  4 Sm 2.26-2.32
12 O 0.2839 0.7161 0.2528  1 Ga 1.84
13 O 0.3947 0.9180 0.7482  1 Ga 1.87
14 O 0.4605 0.5395 0.7838  1 Ga 1.88
15 O 0.5395 0.4605 0.2838  1 Ga 1.88
16 O 0.6053 0.0820 0.2482  1 Ga 1.87
17 O 0.7161 0.2839 0.7528  1 Ga 1.84
18 O 0.8264 0.8545 0.7253  4 Sm 2.26-2.32
19 O 0.8545 0.8264 0.2253  4 Sm 2.26-2.32
20 O 0.9180 0.3947 0.2482  1 Ga 1.87

This record from Alexandria via LeMat-Bulk describes crystalline Sr3Ga4O9 at its relaxed geometry. The functional is GGA-PBEsol.

Values from the calculation:
Formation energy from raw total energies: -2351 meV per atom
VASP energy: -6.4835 eV/atom

abc: 6.7342 8.0121 9.6981
angles: 85.17 72.54 74.45
With the nearest neighbours (Å) after each atom.
Sites, in units of the cell vectors:
1 Sr 0.0608 0.0520 0.1879  6 O 2.44-2.69
2 Sr 0.1871 0.5673 0.1776  6 O 2.44-2.69
3 Sr 0.3144 0.2156 0.4600  5 O 2.39-2.63
4 Sr 0.6856 0.7844 0.5400  5 O 2.39-2.63
5 Sr 0.8129 0.4327 0.8224  6 O 2.44-2.69
6 Sr 0.9392 0.9480 0.8121  6 O 2.44-2.69
7 Ga 0.2517 0.7513 0.4444  4 O 1.81-1.90
8 Ga 0.3360 0.5504 0.7337  4 O 1.84-1.87
9 Ga 0.3895 0.1697 0.8005  4 O 1.84-1.87
10 Ga 0.4399 0.8038 0.9191  4 O 1.81-1.89
11 Ga 0.5601 0.1962 0.0809  4 O 1.81-1.89
12 Ga 0.6105 0.8303 0.1995  4 O 1.84-1.87
13 Ga 0.6640 0.4496 0.2663  4 O 1.84-1.87
14 Ga 0.7483 0.2487 0.5556  4 O 1.81-1.90
15 O 0.0182 0.8194 0.3774  1 Ga 1.81
16 O 0.2042 0.3723 0.7604  2 Ga 1.84-1.86
17 O 0.2195 0.7437 0.6399  2 Ga 1.84
18 O 0.2398 0.0146 0.9003  2 Ga 1.84-1.89
19 O 0.2900 0.2434 0.2037  1 Ga 1.81
20 O 0.3020 0.6321 0.9144  2 Ga 1.85-1.86
21 O 0.3745 0.5224 0.3722  2 Ga 1.87-1.90
22 O 0.4091 0.8000 0.1161  2 Ga 1.85-1.86
23 O 0.4378 0.9001 0.3859  2 Ga 1.87-1.89
24 O 0.5622 0.0999 0.6141  2 Ga 1.87-1.89
25 O 0.5909 0.2000 0.8839  2 Ga 1.85-1.86
26 O 0.6255 0.4776 0.6278  2 Ga 1.87-1.90
27 O 0.6980 0.3679 0.0856  2 Ga 1.85-1.86
28 O 0.7100 0.7566 0.7963  1 Ga 1.81
29 O 0.7602 0.9854 0.0997  2 Ga 1.84-1.89
30 O 0.7805 0.2563 0.3601  2 Ga 1.84
31 O 0.7958 0.6277 0.2396  2 Ga 1.84-1.86
32 O 0.9818 0.1806 0.6226  1 Ga 1.81

This record from Alexandria via LeMat-Bulk describes crystalline Sr3Ti3Ga8O20 at its relaxed geometry. The functional is GGA-PBEsol.

Values from the calculation:
Formation energy from raw total energies: -2376 meV per atom
VASP energy: -7.1461 eV/atom

abc: 9.7339 9.7339 5.1264
angles: 104.82 104.82 73.83
With the nearest neighbours (Å) after each atom.
Sites, in units of the cell vectors:
1 Sr 0.0000 0.0000 0.0000  6 O 2.47-2.72
2 Sr 0.2727 0.2727 0.2858  5 O 2.45-2.63
3 Sr 0.7273 0.7273 0.7142  5 O 2.45-2.63
4 Ti 0.3740 0.6260 0.5000  6 O 1.99-2.02
5 Ti 0.5000 0.5000 0.0000  6 O 2.00-2.03
6 Ti 0.6260 0.3740 0.5000  6 O 1.99-2.02
7 Ga 0.0066 0.2776 0.6516  4 O 1.83-1.86
8 Ga 0.1406 0.5769 0.8314  4 O 1.82-1.87
9 Ga 0.2776 0.0066 0.6516  4 O 1.83-1.86
10 Ga 0.4231 0.8594 0.1686  4 O 1.82-1.87
11 Ga 0.5769 0.1406 0.8314  4 O 1.82-1.87
12 Ga 0.7224 0.9934 0.3484  4 O 1.83-1.86
13 Ga 0.8594 0.4231 0.1686  4 O 1.82-1.87
14 Ga 0.9934 0.7224 0.3484  4 O 1.83-1.86
15 O 0.0037 0.2804 0.0120  2 Ga 1.85-1.86
16 O 0.0935 0.0935 0.4908  2 Ga 1.83
17 O 0.1220 0.3952 0.6426  2 Ga 1.82-1.83
18 O 0.1720 0.6685 0.5793  2 Ga 1.86-1.87, 1 Ti 2.02
19 O 0.2804 0.0037 0.0120  2 Ga 1.85-1.86
20 O 0.3037 0.5428 0.1070  1 Ga 1.85, 2 Ti 1.99-2.03
21 O 0.3315 0.8280 0.4207  2 Ga 1.86-1.87, 1 Ti 2.02
22 O 0.3952 0.1220 0.6426  2 Ga 1.82-1.83
23 O 0.4290 0.4290 0.5986  3 Ti 2.00
24 O 0.4572 0.6963 0.8930  1 Ga 1.85, 2 Ti 1.99-2.03
25 O 0.5428 0.3037 0.1070  1 Ga 1.85, 2 Ti 1.99-2.03
26 O 0.5710 0.5710 0.4014  3 Ti 2.00
27 O 0.6048 0.8780 0.3574  2 Ga 1.82-1.83
28 O 0.6685 0.1720 0.5793  2 Ga 1.86-1.87, 1 Ti 2.02
29 O 0.6963 0.4572 0.8930  1 Ga 1.85, 2 Ti 1.99-2.03
30 O 0.7196 0.9963 0.9880  2 Ga 1.85-1.86
31 O 0.8280 0.3315 0.4207  2 Ga 1.86-1.87, 1 Ti 2.02
32 O 0.8780 0.6048 0.3574  2 Ga 1.82-1.83
33 O 0.9065 0.9065 0.5092  2 Ga 1.83
34 O 0.9963 0.7196 0.9880  2 Ga 1.85-1.86

This record from Alexandria via LeMat-Bulk describes crystalline TaTiGaO6 at its relaxed geometry. The functional is GGA-PBEsol.

Values from the calculation:
Formation energy from raw total energies: -2632 meV per atom
VASP energy: -8.8221 eV/atom

abc: 4.6306 4.6306 8.9836
angles: 90.00 90.00 90.00
With the nearest neighbours (Å) after each atom.
Sites, in units of the cell vectors:
1 Ta 0.0000 0.0000 0.0000  6 O 1.98-1.99
2 Ta 0.5000 0.5000 0.5000  6 O 1.98-1.99
3 Ti 0.0000 0.0000 0.6660  6 O 1.95-1.97
4 Ti 0.5000 0.5000 0.1660  6 O 1.95-1.97
5 Ga 0.0000 0.0000 0.3340  6 O 1.98-2.00
6 Ga 0.5000 0.5000 0.8340  6 O 1.98-2.00
7 O 0.1954 0.1954 0.5017  1 Ti 1.95, 1 Ga 1.98, 1 Ta 1.99
8 O 0.1955 0.1955 0.8320  1 Ti 1.97, 1 Ta 1.98, 1 Ga 1.99
9 O 0.1996 0.1996 0.1658  1 Ti 1.97, 1 Ta 1.98, 1 Ga 2.00
10 O 0.3004 0.6996 0.6658  1 Ti 1.97, 1 Ta 1.98, 1 Ga 2.00
11 O 0.3045 0.6955 0.3320  1 Ti 1.97, 1 Ta 1.98, 1 Ga 1.99
12 O 0.3046 0.6954 0.0017  1 Ti 1.95, 1 Ga 1.98, 1 Ta 1.99
13 O 0.6954 0.3046 0.0017  1 Ti 1.95, 1 Ga 1.98, 1 Ta 1.99
14 O 0.6955 0.3045 0.3320  1 Ti 1.97, 1 Ta 1.98, 1 Ga 1.99
15 O 0.6996 0.3004 0.6658  1 Ti 1.97, 1 Ta 1.98, 1 Ga 2.00
16 O 0.8004 0.8004 0.1658  1 Ti 1.97, 1 Ta 1.98, 1 Ga 2.00
17 O 0.8045 0.8045 0.8320  1 Ti 1.97, 1 Ta 1.98, 1 Ga 1.99
18 O 0.8046 0.8046 0.5017  1 Ti 1.95, 1 Ga 1.98, 1 Ta 1.99